PrTmPd, relaxed, DFT GGA-PBE; density = 8.707 Mg/m³; excess energy over the best structure of this formula in the dataset = 38.9 meV/atom; energy of formation = -0.532 eV per atom
1.0
5.502 0.000 0.000
-2.311 5.492 0.000
-1.589 -2.744 5.254
Pr Tm Pd
2 2 2
Cartesian
0.159 1.663 0.007 Pr
1.443 1.086 5.247 Pr
-1.154 2.752 3.402 Tm
2.756 -0.003 1.852 Tm
0.003 0.002 2.733 Pd
1.599 2.746 2.521 Pd